Here is a geometry-optimized SiGeN2 structure from Alexandria. Energies are from PBEsol.

Results
* energy relative to the elements, uncorrected: 25.5 kcal/mol of atoms
* space-group type: No. 225
* uncorrected energy: -5.827 eV per atom
* crystal system: cubic

a b c (Å): 3.792 3.792 3.792
angles (deg): 60.00 60.00 60.00
Fractional positions:
Ge (0.500, 0.500, 0.500)
Si (0.000, 0.000, 0.000)
N (0.250, 0.250, 0.250)
N (0.750, 0.750, 0.750)

---

Here is a geometry-optimized Li3Mg structure from Alexandria. Energies are from PBEsol.

Results
* energy of formation: 26 meV/atom
* space-group type: No. 185
* uncorrected energy: -1.878 eV per atom
* crystal system: hexagonal

a b c (Å): 7.983 7.983 8.718
angles (deg): 90.00 90.00 120.00
Fractional positions:
Li (0.703, 0.703, 0.633)
Li (0.000, 0.297, 0.633)
Li (0.297, 0.000, 0.633)
Li (0.297, 0.297, 0.133)
Li (0.000, 0.703, 0.133)
Li (0.703, 0.000, 0.133)
Li (0.288, 0.288, 0.800)
Li (0.000, 0.712, 0.800)
Li (0.712, 0.000, 0.800)
Li (0.712, 0.712, 0.300)
Li (0.000, 0.288, 0.300)
Li (0.288, 0.000, 0.300)
Li (0.667, 0.333, 0.722)
Li (0.333, 0.667, 0.222)
Li (0.667, 0.333, 0.222)
Li (0.333, 0.667, 0.722)
Li (0.000, 0.000, 0.976)
Li (0.000, 0.000, 0.476)
Mg (0.612, 0.612, 0.967)
Mg (0.000, 0.388, 0.967)
Mg (0.388, 0.000, 0.967)
Mg (0.388, 0.388, 0.467)
Mg (0.000, 0.612, 0.467)
Mg (0.612, 0.000, 0.467)

---

Here is a geometry-optimized SrGaRe2Pb structure from Alexandria. Energies are from PBEsol.

Results
* energy of formation: 1964 meV/atom
* space-group type: No. 123
* uncorrected energy: -5.205 eV per atom
* crystal system: tetragonal

a b c (Å): 5.104 5.104 5.226
angles (deg): 90.00 90.00 90.00
Last column: magnetic moment on the atom in μB.
Fractional positions:
Pb (0.000, 0.000, 0.000)  -0.04
Re (0.000, 0.500, 0.000)  1.35
Re (0.500, 0.000, 0.000)  1.35
Ga (0.000, 0.000, 0.500)  -0.04
Sr (0.500, 0.500, 0.500)  -0.01

---

Here is a geometry-optimized ZrBe2Pb structure from Alexandria. Energies are from PBEsol.

Results
* energy of formation: 119 meV/atom
* space-group type: No. 6
* uncorrected energy: -5.154 eV per atom
* crystal system: monoclinic

a b c (Å): 3.679 3.785 4.900
angles (deg): 112.21 90.00 90.00
Fractional positions:
Pb (0.000, 0.522, 0.422)
Be (0.000, 0.805, 0.983)
Be (0.500, 0.936, 0.249)
Zr (0.500, 0.238, 0.847)

---

Here is a geometry-optimized VCrCuS4 structure from Alexandria. Energies are from PBEsol.

Results
* energy relative to the elements, uncorrected: -16.8 kcal/mol of atoms
* space-group type: No. 74
* uncorrected energy: -6.694 eV per atom
* crystal system: orthorhombic

a b c (Å): 6.670 6.870 6.870
angles (deg): 61.08 60.96 60.96
Last column: magnetic moment on the atom in μB.
Fractional positions:
V (0.500, 0.500, 0.000)  1.28
V (0.000, 0.500, 0.000)  1.28
Cr (0.000, 0.000, 0.000)  2.72
Cr (0.000, 0.500, 0.500)  2.72
Cu (0.629, 0.121, 0.621)  -0.06
Cu (0.371, 0.879, 0.379)  -0.06
S (0.758, 0.732, 0.752)  -0.08
S (0.758, 0.252, 0.232)  -0.08
S (0.228, 0.259, 0.759)  -0.09
S (0.754, 0.259, 0.759)  -0.09
S (0.242, 0.268, 0.248)  -0.08
S (0.242, 0.748, 0.768)  -0.08
S (0.772, 0.741, 0.241)  -0.09
S (0.246, 0.741, 0.241)  -0.09

---

Here is a geometry-optimized YCrCo3 structure from Alexandria. Energies are from PBEsol.

Results
* energy of formation: 463 meV/atom
* space-group type: No. 221
* uncorrected energy: -7.592 eV per atom
* crystal system: cubic

a b c (Å): 4.204 4.204 4.204
angles (deg): 90.00 90.00 90.00
Fractional positions:
Y (0.500, 0.500, 0.500)
Cr (0.000, 0.000, 0.000)
Co (0.000, 0.500, 0.000)
Co (0.000, 0.000, 0.500)
Co (0.500, 0.000, 0.000)

---

Here is a geometry-optimized TlWCl2 structure from Alexandria. Energies are from PBEsol.

Results
* energy relative to the elements, uncorrected: 3.8 kcal/mol of atoms
* space-group type: No. 47
* uncorrected energy: -4.951 eV per atom
* polymorph energy (0 for the lowest one): 0.0 kJ/mol of atoms
* crystal system: orthorhombic

a b c (Å): 2.967 4.005 6.792
angles (deg): 90.00 90.00 90.00
Fractional positions:
Tl (0.500, 0.500, 0.000)
W (0.000, 0.500, 0.500)
Cl (0.000, 0.000, 0.706)
Cl (0.000, 0.000, 0.294)

---

Here is a geometry-optimized CeSi4Ni9 structure from Alexandria. Energies are from PBEsol.

Results
* energy relative to the elements, uncorrected: -14.7 kcal/mol of atoms
* space-group type: No. 140
* uncorrected energy: -6.710 eV per atom
* crystal system: tetragonal

a b c (Å): 7.719 7.847 7.719
angles (deg): 60.54 90.00 119.46
Fractional positions:
Ce (0.750, 0.500, 0.250)
Ce (0.250, 0.500, 0.750)
Si (0.447, 0.235, 0.711)
Si (0.211, 0.765, 0.947)
Si (0.711, 0.765, 0.789)
Si (0.947, 0.235, 0.553)
Si (0.289, 0.235, 0.211)
Si (0.789, 0.235, 0.053)
Si (0.553, 0.765, 0.289)
Si (0.053, 0.765, 0.447)
Ni (0.569, 0.000, 0.704)
Ni (0.796, 0.000, 0.931)
Ni (0.316, 0.370, 0.446)
Ni (0.816, 0.370, 0.684)
Ni (0.431, 0.000, 0.296)
Ni (0.184, 0.630, 0.316)
Ni (0.446, 0.630, 0.054)
Ni (0.946, 0.630, 0.816)
Ni (0.684, 0.630, 0.554)
Ni (0.054, 0.370, 0.184)
Ni (0.500, 0.000, 0.000)
Ni (0.000, 0.000, 0.500)
Ni (0.296, 0.000, 0.569)
Ni (0.931, 0.000, 0.204)
Ni (0.069, 0.000, 0.796)
Ni (0.204, 0.000, 0.069)
Ni (0.554, 0.370, 0.946)
Ni (0.704, 0.000, 0.431)